No. 1
{
  "formula": "Ta2ZnHg",
  "functional": "GGA-PBE",
  "state": "relaxed",
  "spacegroup": "No. 8",
  "polymorph_energy_kj_per_mol_fu": 69,
  "formation_enthalpy_0k_kj_per_mol_atoms": 30.1,
  "lattice_angstrom": [[5.144, 0.002, -0.037], [4.316, 2.798, -0.037], [1.060, 0.314, 5.077]],
  "species": ["Hg", "Ta", "Ta", "Zn"],
  "fractional_positions": [[0.250, 0.250, 0.269], [0.008, 0.008, 0.969], [0.746, 0.746, 0.769], [0.496, 0.496, 0.493]]
}

No. 2
{
  "formula": "RbSr2Zr",
  "functional": "GGA-PBE",
  "state": "relaxed",
  "spacegroup": "No. 122",
  "polymorph_energy_kj_per_mol_fu": 111,
  "formation_enthalpy_0k_kj_per_mol_atoms": 99.3,
  "lattice_angstrom": [[5.579, 0.000, 0.000], [0.000, 5.579, 0.000], [2.790, 2.790, 12.906]],
  "species": ["Rb", "Rb", "Sr", "Sr", "Sr", "Sr", "Zr", "Zr"],
  "fractional_positions": [[0.250, 0.750, 0.500], [0.500, 0.500, 0.000], [0.875, 0.896, 0.750], [0.646, 0.125, 0.250], [0.375, 0.354, 0.750], [0.104, 0.625, 0.250], [0.750, 0.250, 0.500], [0.000, 0.000, 0.000]]
}

No. 3
{
  "formula": "Tb2PrNd2Y4",
  "functional": "GGA-PBE",
  "state": "relaxed",
  "spacegroup": "No. 12",
  "formation_enthalpy_0k_kj_per_mol_atoms": -0.6,
  "lattice_angstrom": [[-0.851, 3.500, 0.535], [-0.560, -0.563, -9.589], [-7.983, -2.668, 4.758]],
  "species": ["Tb", "Tb", "Pr", "Nd", "Nd", "Y", "Y", "Y", "Y"],
  "fractional_positions": [[0.852, 0.704, 0.336], [0.148, 0.296, 0.664], [0.000, 0.000, 0.000], [0.667, 0.334, 0.999], [0.333, 0.666, 0.001], [0.480, 0.961, 0.663], [0.520, 0.039, 0.337], [0.814, 0.628, 0.664], [0.186, 0.372, 0.336]]
}

No. 4
{
  "formula": "Ac6CoPd2I3",
  "functional": "GGA-PBE",
  "state": "relaxed",
  "spacegroup": "No. 12",
  "formation_energy_uncorrected_ev_per_atom": -0.872,
  "lattice_angstrom": [[-0.538, -6.254, -4.383], [6.874, 2.566, 2.184], [-2.522, -3.699, 7.815]],
  "species": ["Pd", "Pd", "Ac", "Ac", "Ac", "Ac", "Ac", "Ac", "Co", "I", "I", "I"],
  "fractional_positions": [[0.333, 0.667, 0.000], [0.667, 0.333, 0.000], [0.255, 0.255, 0.815], [0.621, 0.938, 0.815], [0.938, 0.621, 0.815], [0.379, 0.062, 0.185], [0.745, 0.745, 0.185], [0.062, 0.379, 0.185], [0.000, 0.000, 0.000], [0.834, 0.166, 0.500], [0.500, 0.500, 0.500], [0.166, 0.834, 0.500]]
}

Number 1: M_tot 0.00 μB/f.u.. Number 2: M_tot 3.81 μB/f.u.. Number 3: M_tot 0.00 μB/f.u.. Number 4: M_tot 0.00 μB/f.u..